# 1
Below is an optimized crystal structure of Li8SmAl4, with properties calculated at the PBE-GGA level.

Summary:
mass density = 2.181 g/cm³
final energy = -2.83 eV per atom
total magnetization = 0.00 μB per formula unit
DOS at the Fermi energy = 4.188 states/eV/cell

Unit cell a=5.4872 b=7.1469 c=7.1469 alpha=81.53 beta=67.43 gamma=67.43
With the nearest neighbours (Å) after each atom.
Fractional coordinates of all 13 atoms:
Li: 0.0000 0.3471 0.6529  5 Li 2.85-3.00, 4 Al 2.85
Li: 0.0000 0.6529 0.3471  5 Li 2.85-3.00, 4 Al 2.85
Li: 0.3471 0.6529 0.6529  5 Li 2.85-3.00, 4 Al 2.85
Li: 0.6529 0.3471 0.3471  5 Li 2.85-3.00, 4 Al 2.85
Li: 0.5000 0.7818 0.2182  4 Al 2.72, 6 Li 2.88-3.00
Li: 0.5000 0.2182 0.7818  4 Al 2.72, 6 Li 2.88-3.00
Li: 0.2818 0.2182 0.2182  4 Al 2.72, 6 Li 2.88-3.00
Li: 0.7182 0.7818 0.7818  4 Al 2.72, 6 Li 2.88-3.00
Sm: 0.0000 0.0000 0.0000  12 Li 3.24-3.42, 8 Al 3.57
Al: 0.0000 0.0000 0.5000  8 Li 2.72-2.85, 2 Al 2.74
Al: 0.5000 0.0000 0.5000  8 Li 2.72-2.85, 2 Al 2.74
Al: 0.0000 0.5000 0.0000  8 Li 2.72-2.85, 2 Al 2.74
Al: 0.5000 0.5000 0.0000  8 Li 2.72-2.85, 2 Al 2.74

=====

# 2
Below is an optimized crystal structure of CuRu, with properties calculated at the PBE-GGA level.

Summary:
mass density = 10.308 g/cm³
final energy = -6.38 eV per atom
total magnetization = 0.00 μB per formula unit
DOS at the Fermi energy = 2.144 states/eV/cell

Unit cell a=2.6398 b=2.6398 c=4.3943 alpha=90.00 beta=90.00 gamma=120.00
With the nearest neighbours (Å) after each atom.
Fractional coordinates of all 2 atoms:
Ru: 0.3333 0.6667 0.0000  6 Ru 2.64, 6 Cu 2.67
Cu: 0.0000 0.0000 0.5000  6 Cu 2.64, 6 Ru 2.67

=====

# 3
Below is an optimized crystal structure of DyErCoPd, with properties calculated at the PBE-GGA level.

Summary:
mass density = 10.431 g/cm³
relative energy among the computed polymorphs = 0 meV/atom
total magnetization = 0.22 μB per formula unit
DOS at the Fermi energy = 1.533 states/eV/cell

Unit cell a=3.3866 b=3.3866 c=6.8726 alpha=90.00 beta=90.00 gamma=90.00
With the nearest neighbours (Å) after each atom.
Fractional coordinates of all 4 atoms:
Dy: 0.0000 0.0000 0.8434  4 Co 2.91, 4 Pd 3.02
Er: 0.0000 0.0000 0.3694  4 Co 2.89, 4 Pd 2.98
Co: 0.5000 0.5000 0.6041  4 Er 2.89, 4 Dy 2.91
Pd: 0.5000 0.5000 0.1111  4 Er 2.98, 4 Dy 3.02